Density functional theory data (PBEsol) for PdS2IN after structural relaxation.

Cell lengths 3.680, 4.917, 4.917 Å; angles 90.00, 90.00, 90.00 degrees
Sites, in units of the cell vectors:
I1 0.500 0.500 0.500
S1 0.000 0.000 0.500
S2 0.000 0.500 0.000
Pd1 0.000 0.000 0.000
N1 0.500 0.000 0.000

DFT total energy   -4.201 eV per atom
ΔE_f (raw)   0.80 eV/atom
Energy above the lowest structure with this stoichiometry   0 meV per atom
Calculated volume   89.0 Å³ per cell

---

Density functional theory data (PBEsol) for PdS2IN after structural relaxation.

Cell lengths 3.819, 5.053, 5.053 Å; angles 90.00, 90.00, 90.00 degrees
Sites, in units of the cell vectors:
I1 0.000 0.000 0.000
S1 0.000 0.000 0.500
S2 0.000 0.500 0.000
Pd1 0.500 0.500 0.500
N1 0.500 0.000 0.000

DFT total energy   -3.480 eV per atom
ΔE_f (raw)   1.52 eV/atom
Energy above the lowest structure with this stoichiometry   721 meV per atom
Calculated volume   97.5 Å³ per cell

---

Density functional theory data (PBEsol) for PdSe2IN after structural relaxation.

Cell lengths 3.680, 5.192, 5.192 Å; angles 90.00, 90.00, 90.00 degrees
Sites, in units of the cell vectors:
I1 0.500 0.500 0.500
Se1 0.000 0.000 0.500
Se2 0.000 0.500 0.000
Pd1 0.000 0.000 0.000
N1 0.500 0.000 0.000

DFT total energy   -4.090 eV per atom
ΔE_f (raw)   0.70 eV/atom
Calculated volume   99.2 Å³ per cell

---

Density functional theory data (PBEsol) for SrPdIN2 after structural relaxation.

Cell lengths 4.629, 4.629, 6.444 Å; angles 90.00, 90.00, 90.00 degrees
Sites, in units of the cell vectors:
I1 0.000 0.000 0.500
Sr1 0.000 0.000 0.000
Pd1 0.500 0.500 0.500
N1 0.000 0.500 0.000
N2 0.500 0.000 0.000

DFT total energy   -3.803 eV per atom
ΔE_f (raw)   1.52 eV/atom
Calculated volume   138.1 Å³ per cell

---

Density functional theory data (PBEsol) for TePdI2N after structural relaxation.

Cell lengths 4.892, 4.892, 4.589 Å; angles 90.00, 90.00, 90.00 degrees
Sites, in units of the cell vectors:
I1 0.000 0.500 0.000
I2 0.500 0.000 0.000
Te1 0.000 0.000 0.500
Pd1 0.500 0.500 0.500
N1 0.000 0.000 0.000

DFT total energy   -3.315 eV per atom
ΔE_f (raw)   0.99 eV/atom
Energy above the lowest structure with this stoichiometry   0 meV per atom
Calculated volume   109.8 Å³ per cell

---

Density functional theory data (PBEsol) for TePdI2N after structural relaxation.

Cell lengths 3.908, 5.936, 5.936 Å; angles 90.00, 90.00, 90.00 degrees
Sites, in units of the cell vectors:
I1 0.000 0.000 0.500
I2 0.000 0.500 0.000
Te1 0.000 0.000 0.000
Pd1 0.500 0.500 0.500
N1 0.500 0.000 0.000

DFT total energy   -3.310 eV per atom
ΔE_f (raw)   1.00 eV/atom
Energy above the lowest structure with this stoichiometry   4 meV per atom
Calculated volume   137.7 Å³ per cell

---

Density functional theory data (PBEsol) for Pd2WIN after structural relaxation.

Cell lengths 3.792, 5.026, 5.026 Å; angles 90.00, 90.00, 90.00 degrees
Sites, in units of the cell vectors:
I1 0.500 0.500 0.500
Pd1 0.000 0.000 0.500
Pd2 0.000 0.500 0.000
W1 0.000 0.000 0.000
N1 0.500 0.000 0.000

DFT total energy   -6.531 eV per atom
ΔE_f (raw)   0.67 eV/atom
Calculated volume   95.8 Å³ per cell

---

Density functional theory data (PBEsol) for ZnPdI2N after structural relaxation.

Cell lengths 3.705, 5.582, 5.582 Å; angles 90.00, 90.00, 90.00 degrees
Sites, in units of the cell vectors:
I1 0.000 0.000 0.500
I2 0.000 0.500 0.000
Zn1 0.500 0.500 0.500
Pd1 0.000 0.000 0.000
N1 0.500 0.000 0.000

DFT total energy   -3.336 eV per atom
ΔE_f (raw)   0.58 eV/atom
Calculated volume   115.5 Å³ per cell

---

Density functional theory data (PBEsol) for PtSeIN2 after structural relaxation.

Cell lengths 3.812, 3.812, 5.960 Å; angles 90.00, 90.00, 90.00 degrees
Sites, in units of the cell vectors:
I1 0.000 0.000 0.000
Se1 0.000 0.000 0.500
Pt1 0.500 0.500 0.500
N1 0.000 0.500 0.000
N2 0.500 0.000 0.000

DFT total energy   -4.064 eV per atom
ΔE_f (raw)   1.86 eV/atom
Calculated volume   86.6 Å³ per cell

---

Density functional theory data (PBEsol) for PtSeI2N after structural relaxation.

Cell lengths 3.667, 5.614, 5.614 Å; angles 90.00, 90.00, 90.00 degrees
Sites, in units of the cell vectors:
I1 0.000 0.000 0.500
I2 0.000 0.500 0.000
Se1 0.500 0.500 0.500
Pt1 0.000 0.000 0.000
N1 0.500 0.000 0.000

DFT total energy   -3.957 eV per atom
ΔE_f (raw)   0.62 eV/atom
Calculated volume   115.6 Å³ per cell

---

Density functional theory data (PBEsol) for SiPtIN2 after structural relaxation.

Cell lengths 3.788, 3.788, 7.476 Å; angles 90.00, 90.00, 90.00 degrees
Sites, in units of the cell vectors:
I1 0.000 0.000 0.500
Si1 0.500 0.500 0.500
Pt1 0.000 0.000 0.000
N1 0.000 0.500 0.000
N2 0.500 0.000 0.000

DFT total energy   -4.985 eV per atom
ΔE_f (raw)   1.32 eV/atom
Calculated volume   107.3 Å³ per cell

---

Density functional theory data (PBEsol) for TiPtI2N after structural relaxation.

Cell lengths 3.641, 5.444, 5.444 Å; angles 90.00, 90.00, 90.00 degrees
Sites, in units of the cell vectors:
I1 0.000 0.000 0.500
I2 0.000 0.500 0.000
N1 0.500 0.000 0.000
Pt1 0.500 0.500 0.500
Ti1 0.000 0.000 0.000

DFT total energy   -5.112 eV per atom
ΔE_f (raw)   0.36 eV/atom
Calculated volume   107.9 Å³ per cell

---

Density functional theory data (PBEsol) for RbS2IN after structural relaxation.

Cell lengths 4.149, 5.259, 5.259 Å; angles 90.00, 90.00, 90.00 degrees
Sites, in units of the cell vectors:
I1 0.000 0.000 0.000
S1 0.000 0.000 0.500
S2 0.000 0.500 0.000
Rb1 0.500 0.500 0.500
N1 0.500 0.000 0.000

DFT total energy   -3.385 eV per atom
ΔE_f (raw)   0.63 eV/atom
Calculated volume   114.7 Å³ per cell

---

Density functional theory data (PBEsol) for RbSIN2 after structural relaxation.

Cell lengths 5.400, 5.400, 6.155 Å; angles 90.00, 90.00, 90.00 degrees
Sites, in units of the cell vectors:
I1 0.500 0.500 0.500
S1 0.000 0.000 0.500
Rb1 0.000 0.000 0.000
N1 0.000 0.500 0.000
N2 0.500 0.000 0.000

DFT total energy   -2.639 eV per atom
ΔE_f (raw)   2.21 eV/atom
Calculated volume   179.5 Å³ per cell

---

Density functional theory data (PBEsol) for RbScIN2 after structural relaxation.

Cell lengths 4.517, 4.517, 5.730 Å; angles 90.00, 90.00, 90.00 degrees
Sites, in units of the cell vectors:
I1 0.000 0.000 0.500
Sc1 0.000 0.000 0.000
Rb1 0.500 0.500 0.500
N1 0.000 0.500 0.000
N2 0.500 0.000 0.000

DFT total energy   -5.147 eV per atom
ΔE_f (raw)   0.14 eV/atom
Calculated volume   116.9 Å³ per cell

---

Density functional theory data (PBEsol) for RbSeIN2 after structural relaxation.

Cell lengths 4.402, 4.402, 5.896 Å; angles 90.00, 90.00, 90.00 degrees
Sites, in units of the cell vectors:
I1 0.000 0.000 0.500
Se1 0.000 0.000 0.000
Rb1 0.500 0.500 0.500
N1 0.000 0.500 0.000
N2 0.500 0.000 0.000

DFT total energy   -3.527 eV per atom
ΔE_f (raw)   1.21 eV/atom
Calculated volume   114.2 Å³ per cell

---

Density functional theory data (PBEsol) for RbYIN2 after structural relaxation.

Cell lengths 4.654, 4.654, 6.128 Å; angles 90.00, 90.00, 90.00 degrees
Sites, in units of the cell vectors:
I1 0.000 0.000 0.500
Y1 0.000 0.000 0.000
Rb1 0.500 0.500 0.500
N1 0.000 0.500 0.000
N2 0.500 0.000 0.000

DFT total energy   -5.256 eV per atom
ΔE_f (raw)   0.08 eV/atom
Calculated volume   132.7 Å³ per cell

---

Density functional theory data (PBEsol) for ReTeIN2 after structural relaxation.

Cell lengths 3.972, 3.972, 5.918 Å; angles 90.00, 90.00, 90.00 degrees
Sites, in units of the cell vectors:
I1 0.000 0.000 0.500
Re1 0.000 0.000 0.000
Te1 0.500 0.500 0.500
N1 0.000 0.500 0.000
N2 0.500 0.000 0.000

DFT total energy   -6.241 eV per atom
ΔE_f (raw)   0.89 eV/atom
Calculated volume   93.4 Å³ per cell

---

Density functional theory data (PBEsol) for Zn2ReIN after structural relaxation.

Cell lengths 3.857, 4.628, 4.628 Å; angles 90.00, 90.00, 90.00 degrees
Sites, in units of the cell vectors:
I1 0.500 0.500 0.500
Re1 0.500 0.000 0.000
Zn1 0.000 0.000 0.500
Zn2 0.000 0.500 0.000
N1 0.000 0.000 0.000

DFT total energy   -4.630 eV per atom
ΔE_f (raw)   0.73 eV/atom
Calculated volume   82.6 Å³ per cell

---

Density functional theory data (PBEsol) for RhSI2N after structural relaxation.

Cell lengths 3.628, 5.435, 5.435 Å; angles 90.00, 90.00, 90.00 degrees
Sites, in units of the cell vectors:
I1 0.000 0.000 0.500
I2 0.000 0.500 0.000
S1 0.500 0.500 0.500
Rh1 0.000 0.000 0.000
N1 0.500 0.000 0.000

DFT total energy   -4.288 eV per atom
ΔE_f (raw)   0.63 eV/atom
Calculated volume   107.2 Å³ per cell